A plane-wave DFT calculation with PBE was carried out for crystalline Dy2TlPt at its relaxed geometry.

a = 4.0170 Å, b = 4.0170 Å, c = 8.3770 Å
α = 76.13°, β = 76.13°, γ = 60.00°
With the nearest neighbours (Å) after each atom.
Fractional positions:
Tl (0.5004, 0.5004, 0.4987)  6 Dy 3.36-3.37
Dy (0.0659, 0.0659, 0.8022)  3 Pt 2.83
Dy (0.2679, 0.2679, 0.1964)  3 Pt 2.79
Pt (0.6658, 0.6658, 0.0027)  6 Dy 2.79-2.83

DFT formation energy: -0.72 eV per atom
energy above the most stable polymorph in this dataset: 0.079 eV per atom
space-group type: R3m (160)

***

A plane-wave DFT calculation with PBE was carried out for crystalline In3Sb2Au at its relaxed geometry.

a = 3.2126 Å, b = 8.2677 Å, c = 8.4746 Å
α = 119.20°, β = 100.93°, γ = 90.00°
With the nearest neighbours (Å) after each atom.
Fractional positions:
Sb (0.8275, 0.6200, 0.6549)  4 In 2.92-3.17, 2 Sb 3.21
Sb (0.1725, 0.9651, 0.3451)  4 In 2.92-3.17, 2 Sb 3.21
In (0.3575, 0.3235, 0.7150)  1 Au 2.73, 1 Sb 3.03
In (0.0000, 0.9767, 0.0000)  2 Au 2.77, 2 Sb 2.92
In (0.6425, 0.6085, 0.2850)  1 Au 2.73, 1 Sb 3.03
Au (0.5000, 0.2492, 0.0000)  4 In 2.73-2.77

space-group type: Imm2 (44)
raw formation energy: 3.17 kJ per mole of atoms

***

A plane-wave DFT calculation with PBE was carried out for crystalline HoTm3Al2 at its relaxed geometry.

a = 5.0357 Å, b = 6.4885 Å, c = 9.3449 Å
α = 90.00°, β = 90.00°, γ = 90.00°
With the nearest neighbours (Å) after each atom.
Fractional positions:
Tm (0.0000, 0.9708, 0.0409)  3 Al 3.11-3.15, 5 Tm 3.33-3.44
Tm (0.0000, 0.3160, 0.3199)  5 Al 3.05-3.41, 2 Ho 3.39
Tm (0.5000, 0.1842, 0.8224)  4 Al 3.02-3.11, 2 Tm 3.38
Tm (0.0000, 0.8160, 0.6801)  5 Al 3.05-3.41, 2 Ho 3.39
Tm (0.0000, 0.4708, 0.9591)  3 Al 3.11-3.15, 5 Tm 3.33-3.44
Tm (0.5000, 0.6842, 0.1776)  4 Al 3.02-3.11, 2 Tm 3.38
Al (0.0000, 0.7921, 0.3539)  6 Tm 3.05-3.41, 2 Ho 3.11
Al (0.5000, 0.2073, 0.1456)  6 Tm 3.02-3.11, 1 Ho 3.16
Al (0.0000, 0.2921, 0.6461)  6 Tm 3.05-3.41, 2 Ho 3.11
Al (0.5000, 0.7073, 0.8544)  6 Tm 3.02-3.11, 1 Ho 3.16
Ho (0.5000, 0.5297, 0.5400)  3 Al 3.11-3.16, 2 Ho 3.33, 3 Tm 3.39-3.46
Ho (0.5000, 0.0297, 0.4600)  3 Al 3.11-3.16, 2 Ho 3.33, 3 Tm 3.39-3.46

DFT formation energy: -0.30 eV per atom
energy above the most stable polymorph in this dataset: 0.000 eV per atom
space-group type: Pmc2_1 (26)

***

A plane-wave DFT calculation with PBE was carried out for crystalline Tm2PaTe at its relaxed geometry.

a = 3.3880 Å, b = 3.3880 Å, c = 11.4864 Å
α = 81.52°, β = 81.52°, γ = 60.00°
With the nearest neighbours (Å) after each atom.
Fractional positions:
Tm (0.0953, 0.0953, 0.7141)  3 Te 3.11, 1 Pa 3.24, 6 Tm 3.39
Tm (0.9047, 0.9047, 0.2859)  3 Te 3.11, 1 Pa 3.24, 6 Tm 3.39
Te (0.5000, 0.5000, 0.5000)  6 Tm 3.11, 6 Te 3.39
Pa (0.0000, 0.0000, 0.0000)  2 Tm 3.24, 6 Pa 3.39

energy above the most stable polymorph in this dataset: 0.452 eV per atom
space-group type: R-3m (166)
raw formation energy: 6.97 kJ per mole of atoms